(1)
DFT (PBE-GGA) results for a geometry-optimized SrCaNi structure.

Cell lengths 5.061, 5.061, 5.061 Å; angles 60.00, 60.00, 60.00 degrees
Fractional positions:
Sr 0.000 0.000 0.000
Ca 0.500 0.500 0.500
Ni 0.750 0.750 0.750

Results
formation energy: 0.06 eV/atom
D(E_F): 0.79 states/eV/cell
energy relative to the lowest polymorph listed for this composition: 3.66 kcal/mol of atoms
space group: F-43m (216)
E: -3.093 eV per atom


(2)
DFT (PBE-GGA) results for a geometry-optimized ErThNiIr structure.

Cell lengths 4.918, 4.918, 4.918 Å; angles 60.00, 60.00, 60.00 degrees
Fractional positions:
Th 0.000 0.000 0.000
Ir 0.250 0.250 0.250
Ni 0.750 0.750 0.750
Er 0.500 0.500 0.500

Results
formation energy: -0.61 eV/atom
D(E_F): 3.58 states/eV/cell
energy relative to the lowest polymorph listed for this composition: 2.48 kcal/mol of atoms
space group: F-43m (216)
E: -7.264 eV per atom


(3)
DFT (PBE-GGA) results for a geometry-optimized SrMnAsH2 structure.

Cell lengths 4.043, 7.666, 4.043 Å; angles 90.00, 90.00, 90.00 degrees
Fractional positions:
H 0.000 0.000 0.500
H 0.500 0.000 0.000
Sr 0.000 0.000 0.000
Mn 0.000 0.500 0.000
As 0.500 0.500 0.500

Results
D(E_F): 2.39 states/eV/cell
space group: P4/mmm (123)
E: -3.950 eV per atom


(4)
DFT (PBE-GGA) results for a geometry-optimized LiCoP3 structure.

Cell lengths 4.416, 4.416, 4.416 Å; angles 90.00, 90.00, 90.00 degrees
Fractional positions:
Co 0.000 0.000 0.000
P 0.000 0.000 0.500
P 0.000 0.500 0.000
P 0.500 0.000 0.000
Li 0.500 0.500 0.500

Results
formation energy: 0.33 eV/atom
D(E_F): 6.57 states/eV/cell
energy relative to the lowest polymorph listed for this composition: 0.00 kcal/mol of atoms
space group: Pm-3m (221)
E: -4.717 eV per atom


(5)
DFT (PBE-GGA) results for a geometry-optimized Pm3Y3Ho2 structure.

Cell lengths 5.722, 6.026, 8.812 Å; angles 111.56, 108.95, 90.00 degrees
Fractional positions:
Pm 0.365 0.927 0.730
Pm 0.500 0.500 0.000
Pm 0.635 0.073 0.270
Ho 0.251 0.319 0.502
Ho 0.749 0.681 0.498
Y 0.133 0.685 0.267
Y 0.867 0.315 0.733
Y 0.000 0.000 0.000

Results
formation energy: 0.08 eV/atom
D(E_F): 13.81 states/eV/cell
space group: C2/m (12)
E: -5.268 eV per atom


(6)
DFT (PBE-GGA) results for a geometry-optimized UCdIrRh structure.

Cell lengths 4.719, 4.719, 4.719 Å; angles 60.00, 60.00, 60.00 degrees
Fractional positions:
U 0.750 0.750 0.750
Ir 0.500 0.500 0.500
Cd 0.250 0.250 0.250
Rh 0.000 0.000 0.000

Results
formation energy: -0.31 eV/atom
D(E_F): 4.73 states/eV/cell
space group: F-43m (216)
E: -7.412 eV per atom


(7)
DFT (PBE-GGA) results for a geometry-optimized La2MnCu structure.

Cell lengths 6.298, 6.298, 4.890 Å; angles 67.22, 67.22, 33.03 degrees
Fractional positions:
Mn 0.451 0.451 0.548
Cu 0.792 0.792 0.709
La 0.028 0.028 0.971
La 0.229 0.229 0.271

Results
formation energy: 0.10 eV/atom
D(E_F): 4.54 states/eV/cell
space group: Cm (8)
E: -5.680 eV per atom


(8)
DFT (PBE-GGA) results for a geometry-optimized RbPuMoN4 structure.

Cell lengths 5.906, 5.933, 8.582 Å; angles 90.00, 118.21, 90.00 degrees
Fractional positions:
Mo 0.204 0.750 0.336
Mo 0.796 0.250 0.664
N 0.988 0.512 0.335
N 0.988 0.988 0.335
N 0.490 0.750 0.553
N 0.012 0.488 0.665
N 0.412 0.750 0.222
N 0.510 0.250 0.447
N 0.012 0.012 0.665
N 0.588 0.250 0.778
Rb 0.451 0.250 0.101
Rb 0.549 0.750 0.899
Pu 0.786 0.750 0.462
Pu 0.214 0.250 0.538

Results
D(E_F): 14.18 states/eV/cell
space group: P2_1/m (11)
E: -8.924 eV per atom
energy relative to the elements, uncorrected: -0.434 eV per atom


(9)
DFT (PBE-GGA) results for a geometry-optimized Rb2Tl5Au4 structure.

Cell lengths 6.885, 6.976, 8.991 Å; angles 79.11, 67.49, 60.43 degrees
Fractional positions:
Tl 0.750 0.500 0.500
Tl 0.500 0.500 0.000
Tl 0.250 0.500 0.500
Tl 0.000 0.500 0.000
Tl 0.500 0.000 0.000
Au 0.768 0.751 0.713
Au 0.519 0.249 0.713
Au 0.481 0.751 0.287
Au 0.232 0.249 0.287
Rb 0.854 0.000 0.291
Rb 0.146 0.000 0.709

Results
formation energy: -0.11 eV/atom
D(E_F): 5.27 states/eV/cell
energy relative to the lowest polymorph listed for this composition: 0.00 kcal/mol of atoms
space group: Fmmm (69)
E: -2.553 eV per atom


(10)
DFT (PBE-GGA) results for a geometry-optimized Sr2GePt2 structure.

Cell lengths 8.738, 8.738, 3.335 Å; angles 90.00, 90.00, 90.00 degrees
Fractional positions:
Sr 0.648 0.148 0.000
Sr 0.352 0.852 0.000
Sr 0.852 0.648 0.000
Sr 0.148 0.352 0.000
Pt 0.349 0.151 0.500
Pt 0.849 0.349 0.500
Pt 0.151 0.651 0.500
Pt 0.651 0.849 0.500
Ge 0.000 0.000 0.000
Ge 0.500 0.500 0.000

Results
formation energy: -0.19 eV/atom
D(E_F): 4.52 states/eV/cell
space group: P4/mbm (127)
E: -4.198 eV per atom


(11)
DFT (PBE-GGA) results for a geometry-optimized ZrIn2GaHg structure.

Cell lengths 5.099, 5.231, 5.099 Å; angles 90.00, 90.00, 90.00 degrees
Fractional positions:
Ga 0.000 0.000 0.000
In 0.500 0.000 0.000
In 0.000 0.000 0.500
Zr 0.000 0.500 0.000
Hg 0.500 0.500 0.500

Results
formation energy: 0.42 eV/atom
D(E_F): 3.39 states/eV/cell
space group: P4/mmm (123)
E: -3.055 eV per atom


(12)
DFT (PBE-GGA) results for a geometry-optimized SiHgNO2 structure.

Cell lengths 3.403, 3.403, 4.582 Å; angles 90.00, 90.00, 90.00 degrees
Fractional positions:
Si 0.000 0.000 0.000
O 0.000 0.500 0.000
O 0.500 0.000 0.000
Hg 0.500 0.500 0.500
N 0.000 0.000 0.500

Results
D(E_F): 2.67 states/eV/cell
space group: P4/mmm (123)
E: -5.323 eV per atom
energy relative to the elements, uncorrected: -0.530 eV per atom


(13)
DFT (PBE-GGA) results for a geometry-optimized Mg11Cd9Ag4 structure.

Cell lengths 3.246, 12.890, 12.890 Å; angles 112.05, 90.00, 90.00 degrees
Fractional positions:
Ag 0.500 0.551 0.753
Ag 0.500 0.449 0.247
Ag 0.500 0.247 0.449
Ag 0.500 0.753 0.551
Cd 0.500 0.500 0.500
Cd 0.500 0.634 0.156
Cd 0.500 0.215 0.068
Cd 0.500 0.785 0.932
Cd 0.500 0.932 0.785
Cd 0.500 0.366 0.844
Cd 0.500 0.156 0.634
Cd 0.500 0.844 0.366
Cd 0.500 0.068 0.215
Mg 0.000 0.367 0.633
Mg 0.000 0.298 0.298
Mg 0.000 0.057 0.411
Mg 0.000 0.943 0.589
Mg 0.000 0.843 0.157
Mg 0.000 0.702 0.702
Mg 0.000 0.589 0.943
Mg 0.000 0.000 0.000
Mg 0.000 0.633 0.367
Mg 0.000 0.411 0.057
Mg 0.000 0.157 0.843

Results
formation energy: -0.14 eV/atom
D(E_F): 5.46 states/eV/cell
space group: Cmmm (65)
E: -1.688 eV per atom


(14)
DFT (PBE-GGA) results for a geometry-optimized PuZr2Tl3Te6 structure.

Cell lengths 7.374, 7.374, 8.679 Å; angles 98.17, 98.17, 120.04 degrees
Fractional positions:
Te 0.579 0.928 0.787
Te 0.928 0.579 0.787
Te 0.421 0.072 0.213
Te 0.282 0.282 0.794
Te 0.072 0.421 0.213
Te 0.718 0.718 0.206
Tl 0.841 0.159 0.500
Tl 0.500 0.500 0.500
Tl 0.159 0.841 0.500
Pu 0.000 0.000 0.000
Zr 0.331 0.669 0.000
Zr 0.669 0.331 0.000

Results
D(E_F): 15.84 states/eV/cell
space group: C2/m (12)
E: -5.476 eV per atom
energy relative to the elements, uncorrected: -0.695 eV per atom


(15)
DFT (PBE-GGA) results for a geometry-optimized MoAsBr2 structure.

Cell lengths 3.279, 5.818, 4.605 Å; angles 90.00, 90.00, 90.00 degrees
Fractional positions:
Br 0.500 0.500 0.000
Br 0.000 0.000 0.000
Mo 0.500 0.000 0.500
As 0.000 0.500 0.500

Results
D(E_F): 2.40 states/eV/cell
energy relative to the lowest polymorph listed for this composition: 20.43 kcal/mol of atoms
space group: Pmmm (47)
E: -3.996 eV per atom
energy relative to the elements, uncorrected: 0.711 eV per atom


(16)
DFT (PBE-GGA) results for a geometry-optimized Tm3CoSi2 structure.

Cell lengths 4.051, 10.949, 11.201 Å; angles 90.00, 90.00, 90.00 degrees
Fractional positions:
Tm 0.250 0.126 0.557
Tm 0.750 0.298 0.781
Tm 0.750 0.557 0.619
Tm 0.250 0.057 0.881
Tm 0.750 0.943 0.119
Tm 0.750 0.202 0.281
Tm 0.750 0.874 0.443
Tm 0.750 0.626 0.943
Tm 0.250 0.798 0.719
Tm 0.250 0.443 0.381
Tm 0.250 0.374 0.057
Tm 0.250 0.702 0.219
Si 0.250 0.815 0.977
Si 0.750 0.315 0.523
Si 0.250 0.685 0.477
Si 0.750 0.507 0.197
Si 0.750 0.185 0.023
Si 0.250 0.493 0.803
Si 0.750 0.993 0.697
Si 0.250 0.007 0.303
Co 0.250 0.364 0.630
Co 0.750 0.636 0.370
Co 0.750 0.864 0.870
Co 0.250 0.136 0.130

Results
D(E_F): 18.29 states/eV/cell
space group: Pnma (62)
E: -5.923 eV per atom
energy relative to the elements, uncorrected: -0.695 eV per atom


(17)
DFT (PBE-GGA) results for a geometry-optimized HgPd2Pt2 structure.

Cell lengths 3.674, 3.674, 7.296 Å; angles 75.42, 75.42, 90.00 degrees
Fractional positions:
Pt 0.250 0.750 0.500
Pt 0.750 0.250 0.500
Pd 0.599 0.599 0.802
Pd 0.401 0.401 0.198
Hg 0.000 0.000 0.000

Results
formation energy: 0.17 eV/atom
D(E_F): 7.19 states/eV/cell
energy relative to the lowest polymorph listed for this composition: 1.64 kcal/mol of atoms
space group: I4/mmm (139)
E: -4.387 eV per atom


(18)
DFT (PBE-GGA) results for a geometry-optimized Zn6IrPt structure.

Cell lengths 6.687, 6.687, 10.864 Å; angles 90.00, 90.00, 109.13 degrees
Fractional positions:
Zn 0.873 0.620 0.126
Zn 0.251 0.749 0.001
Zn 0.131 0.378 0.625
Zn 0.000 0.000 0.750
Zn 0.378 0.131 0.875
Zn 0.749 0.251 0.001
Zn 0.869 0.622 0.875
Zn 0.380 0.127 0.374
Zn 0.622 0.869 0.875
Zn 0.620 0.873 0.126
Zn 0.380 0.127 0.126
Zn 0.127 0.380 0.126
Zn 0.869 0.622 0.625
Zn 0.000 0.000 0.250
Zn 0.500 0.500 0.750
Zn 0.873 0.620 0.374
Zn 0.749 0.251 0.499
Zn 0.620 0.873 0.374
Zn 0.127 0.380 0.374
Zn 0.378 0.131 0.625
Zn 0.622 0.869 0.625
Zn 0.131 0.378 0.875
Zn 0.500 0.500 0.250
Zn 0.251 0.749 0.499
Ir 0.500 0.500 0.004
Ir 0.757 0.243 0.250
Ir 0.243 0.757 0.250
Ir 0.500 0.500 0.496
Pt 0.244 0.756 0.750
Pt 0.756 0.244 0.750
Pt 0.000 0.000 0.002
Pt 0.000 0.000 0.498

Results
formation energy: -0.26 eV/atom
D(E_F): 14.05 states/eV/cell
energy relative to the lowest polymorph listed for this composition: 0.00 kcal/mol of atoms
space group: Cmmm (65)
E: -3.083 eV per atom


(19)
DFT (PBE-GGA) results for a geometry-optimized La2NiCl structure.

Cell lengths 4.042, 4.042, 7.647 Å; angles 90.00, 90.00, 60.00 degrees
Fractional positions:
La 0.333 0.333 0.788
La 0.667 0.667 0.212
Cl 0.000 0.000 0.500
Ni 0.000 0.000 0.000

Results
D(E_F): 2.85 states/eV/cell
energy relative to the lowest polymorph listed for this composition: 0.35 kcal/mol of atoms
space group: P-3m1 (164)
E: -5.328 eV per atom
energy relative to the elements, uncorrected: -0.957 eV per atom